Record 1
VASP calculation (PBE) on a geometry-optimized NdSnTe2 structure.

Computed properties:
crystal system = orthorhombic
DFT total energy = -4.693 eV/atom
ρ = 6.86 g cm⁻³
space-group type = Cmcm (63)

Unit cell a=13.207 b=13.207 c=4.447 alpha=90.00 beta=90.00 gamma=161.13
Positions (direct):
1 Sn 0.951 0.049 0.750
2 Te 0.424 0.576 0.250
3 Te 0.703 0.297 0.250
4 Te 0.576 0.424 0.750
5 Te 0.297 0.703 0.750
6 Nd 0.830 0.170 0.250
7 Sn 0.049 0.951 0.250
8 Nd 0.170 0.830 0.750

---

Record 2
VASP calculation (PBE) on a geometry-optimized NpSe structure.

Computed properties:
crystal system = cubic
DFT total energy = -8.694 eV/atom
ρ = 7.61 g cm⁻³
space-group type = F-43m (216)

Unit cell a=4.603 b=4.603 c=4.603 alpha=60.00 beta=60.00 gamma=60.00
Last column: magnetic moment on the atom in μB.
Positions (direct):
1 Se 0.250 0.250 0.250  -0.06
2 Np 0.000 0.000 0.000  4.37

---

Record 3
VASP calculation (PBE) on a geometry-optimized PrDyGa5 structure.

Computed properties:
crystal system = tetragonal
DFT total energy = -3.896 eV/atom
ρ = 6.80 g cm⁻³
space-group type = P4/mmm (123)

Unit cell a=4.296 b=4.296 c=8.621 alpha=90.00 beta=90.00 gamma=90.00
Positions (direct):
1 Pr 0.000 0.000 0.000
2 Ga 0.500 0.000 0.260
3 Ga 0.000 0.500 0.740
4 Dy 0.000 0.000 0.500
5 Ga 0.000 0.500 0.260
6 Ga 0.500 0.000 0.740
7 Ga 0.500 0.500 0.000

---

Record 4
VASP calculation (PBE) on a geometry-optimized Zr2CuAgSe4 structure.

Computed properties:
crystal system = tetragonal
DFT total energy = -5.285 eV/atom
ρ = 5.24 g cm⁻³
space-group type = I-4 (82)

Unit cell a=7.190 b=7.190 c=7.190 alpha=130.13 beta=130.13 gamma=73.20
Last column: magnetic moment on the atom in μB.
Positions (direct):
1 Se 0.401 0.374 0.508  -0.01
2 Se 0.107 0.599 0.973  -0.01
3 Se 0.626 0.134 0.027  -0.01
4 Se 0.866 0.893 0.492  -0.01
5 Zr 0.250 0.750 0.500  0.54
6 Ag 0.000 0.000 0.000  0.01
7 Cu 0.750 0.250 0.500  0.01
8 Zr 0.500 0.500 0.000  0.47

---

Record 5
VASP calculation (PBE) on a geometry-optimized Pm2Pt2O5 structure.

Computed properties:
crystal system = tetragonal
energy relative to the lowest polymorph listed for this composition = 0.0 meV per atom
DFT total energy = -6.781 eV/atom
ρ = 10.87 g cm⁻³
space-group type = P4/mmm (123)

Unit cell a=7.004 b=4.071 c=4.071 alpha=90.00 beta=90.00 gamma=90.00
Positions (direct):
1 Pm 0.000 0.000 0.000
2 O 0.761 0.000 0.500
3 Pm 0.500 0.000 0.000
4 O 0.239 0.000 0.500
5 O 0.500 0.500 0.500
6 O 0.239 0.500 0.000
7 Pt 0.807 0.500 0.500
8 O 0.761 0.500 0.000
9 Pt 0.193 0.500 0.500

---

Record 6
VASP calculation (PBE) on a geometry-optimized YZnCdCu structure.

Computed properties:
crystal system = cubic
energy relative to the lowest polymorph listed for this composition = 0.0 meV per atom
DFT total energy = -3.264 eV/atom
ρ = 7.11 g cm⁻³
space-group type = F-43m (216)
E_form = -0.1788 eV/atom

Unit cell a=4.779 b=4.779 c=4.779 alpha=60.00 beta=60.00 gamma=60.00
Positions (direct):
1 Cu 0.750 0.750 0.750
2 Y 0.500 0.500 0.500
3 Cd 0.250 0.250 0.250
4 Zn 0.000 0.000 0.000

---

Record 7
VASP calculation (PBE) on a geometry-optimized GaReO3 structure.

Computed properties:
crystal system = trigonal
DFT total energy = -7.195 eV/atom
ρ = 8.50 g cm⁻³
space-group type = R-3c (167)

Unit cell a=5.517 b=5.517 c=5.517 alpha=60.00 beta=60.00 gamma=60.00
Positions (direct):
1 O 0.250 0.736 0.764
2 O 0.750 0.264 0.236
3 Re 0.000 0.000 0.000
4 Ga 0.750 0.750 0.750
5 O 0.736 0.764 0.250
6 Ga 0.250 0.250 0.250
7 O 0.264 0.236 0.750
8 O 0.764 0.250 0.736
9 Re 0.500 0.500 0.500
10 O 0.236 0.750 0.264

---

Record 8
VASP calculation (PBE) on a geometry-optimized K2TlPtCl6 structure.

Computed properties:
crystal system = cubic
DFT total energy = -3.268 eV/atom
ρ = 3.87 g cm⁻³
space-group type = Fm-3m (225)

Unit cell a=7.480 b=7.480 c=7.480 alpha=60.00 beta=60.00 gamma=60.00
Last column: magnetic moment on the atom in μB.
Positions (direct):
1 Pt 0.000 0.000 0.000  0.42
2 Cl 0.771 0.229 0.771  0.05
3 K 0.750 0.750 0.750  0.00
4 Cl 0.771 0.771 0.229  0.02
5 Cl 0.229 0.771 0.771  0.03
6 Tl 0.500 0.500 0.500  0.03
7 Cl 0.771 0.229 0.229  0.03
8 K 0.250 0.250 0.250  0.00
9 Cl 0.229 0.229 0.771  0.02
10 Cl 0.229 0.771 0.229  0.05